Record 1
{"formula": "K2TaCl7", "functional": "PBE", "state": "relaxed", "dos_at_fermi_per_ev_atom": 0.000, "lattice_angstrom": [[-5.705, 5.136, -1.583], [-7.614, -4.199, -5.588], [-6.717, 0.363, 5.977]], "species": ["K", "K", "K", "K", "Ta", "Ta", "Cl", "Cl", "Cl", "Cl", "Cl", "Cl", "Cl", "Cl", "Cl", "Cl", "Cl", "Cl", "Cl", "Cl"], "frac_coords": [[0.645, 0.944, 0.718], [0.693, 0.444, 0.218], [0.307, 0.556, 0.782], [0.355, 0.056, 0.282], [0.926, 0.250, 0.750], [0.074, 0.750, 0.250], [0.742, 0.492, 0.809], [0.957, 0.992, 0.309], [0.272, 0.820, 0.966], [0.285, 0.223, 0.571], [0.601, 0.250, 0.750], [0.941, 0.320, 0.466], [0.080, 0.277, 0.929], [0.920, 0.723, 0.071], [0.059, 0.680, 0.534], [0.399, 0.750, 0.250], [0.715, 0.777, 0.429], [0.728, 0.180, 0.034], [0.043, 0.008, 0.691], [0.258, 0.508, 0.191]]}

---

Record 2
{"formula": "KTa2Cl", "functional": "PBE", "state": "relaxed", "relative_energy_mev_per_atom": 982, "dos_at_fermi_per_ev_atom": 0.938, "lattice_angstrom": [[-2.720, 0.170, -0.578], [-1.564, -0.936, 7.090], [0.175, 5.317, 0.740]], "species": ["K", "Cl", "Ta", "Ta"], "frac_coords": [[0.500, 0.500, 0.750], [0.500, 0.500, 0.250], [0.000, 0.000, 0.998], [0.000, 0.000, 0.502]]}

---

Record 3
{"formula": "K2TaCl", "functional": "PBE", "state": "relaxed", "relative_energy_mev_per_atom": 6, "dos_at_fermi_per_ev_atom": 0.431, "lattice_angstrom": [[3.327, 0.007, 0.015], [1.662, 2.882, 0.015], [1.575, 0.912, 11.052]], "species": ["K", "K", "Cl", "Ta"], "frac_coords": [[0.983, 0.983, 0.047], [0.517, 0.517, 0.453], [0.250, 0.250, 0.250], [0.750, 0.750, 0.750]]}

---

| no. | formation energy from raw total energies (eV per atom) |
| --- | --- |
| 1 | -1.5063 |
| 2 | 1.0056 |
| 3 | 0.1393 |